First-principles (GGA+U) data for a relaxed structure of Fe5GeO8, as listed in Alexandria via LeMat-Bulk.

The structure in POSCAR format:
```
Fe5GeO8
1.0
-3.019 3.019 4.292
3.019 -3.019 4.292
3.019 3.019 -4.292
Fe Ge O
5 1 8
direct
0.000 0.000 0.000
0.119 0.373 0.746
0.627 0.373 0.254
0.627 0.373 0.746
0.627 0.881 0.254
0.250 0.750 0.500
0.372 0.118 0.746
0.372 0.626 0.254
0.374 0.628 0.746
0.387 0.128 0.259
0.869 0.128 0.741
0.872 0.131 0.259
0.872 0.613 0.741
0.882 0.628 0.254
```

Calculated values
Its space group is I-4m2, No. 119. The density of states at the Fermi level is 0.409 states/eV per atom. The crystal system is tetragonal. The value obtained for the total energy is -6.626 eV/atom.